The following is a PBE calculation of Y2Au2I after structural relaxation, from the Alexandria database.

a b c (Å): 8.325 8.325 3.735
angles (deg): 90.00 90.00 90.00
Atoms (fractional coordinates):
Y 0.162 0.338 0.000
Y 0.338 0.838 0.000
Y 0.662 0.162 0.000
Y 0.838 0.662 0.000
Au 0.127 0.627 0.500
Au 0.373 0.127 0.500
Au 0.627 0.873 0.500
Au 0.873 0.373 0.500
I 0.000 0.000 0.500
I 0.500 0.500 0.500

Output
formation energy from raw total energies: -0.71 eV/atom
V: 258.9 Å³ per cell
energy above the most stable polymorph in this dataset: 0.059 eV/atom
density: 8.963 g cm⁻³